Density functional theory data (PBE) for BeZn2Pb after structural relaxation.

a = 3.0382 Å, b = 3.2946 Å, c = 7.3305 Å
α = 90.00°, β = 90.00°, γ = 90.00°
Closest atoms and distances in Å follow each position.
Fractional positions:
Be: 0.0000 0.0000 0.0000  5 Zn 2.45-2.60
Zn: 0.0000 0.0000 0.6451  1 Be 2.60, 4 Zn 2.76
Zn: 0.5000 0.5000 0.8645  4 Be 2.45
Pb: 0.5000 0.5000 0.3143  4 Pb 3.04-3.29, 4 Be 3.21, 5 Zn 3.30

The symmetry is Pmm2. The calculation puts the density of states at the Fermi level at 1.25 states/eV/f.u. The crystal system is orthorhombic. The value obtained for the energy above the lowest structure with this stoichiometry is 0.143 eV/atom. The value obtained for the total energy is -2.1244 eV per atom. As for the energy relative to the elements: 0.371 eV per atom.